# 1
Zr2SiHg | PBE | relaxed

Unit cell a=9.231 b=9.231 c=9.231 alpha=20.42 beta=20.42 gamma=20.42
Fractional positions:
Zr (0.243, 0.243, 0.243)
Zr (0.757, 0.757, 0.757)
Si (0.500, 0.500, 0.500)
Hg (0.000, 0.000, 0.000)

Summary:
Raw formation energy   -15.1 kJ/mol of atoms


# 2
Pu2BeSi6Rh | PBE | relaxed

Unit cell a=6.183 b=8.198 c=6.706 alpha=90.00 beta=90.00 gamma=90.00
Fractional positions:
Pu (0.250, 0.005, 0.227)
Pu (0.250, 0.495, 0.227)
Pu (0.750, 0.505, 0.773)
Pu (0.750, 0.995, 0.773)
Be (0.250, 0.250, 0.916)
Be (0.750, 0.750, 0.084)
Si (0.059, 0.250, 0.599)
Si (0.061, 0.750, 0.927)
Si (0.250, 0.009, 0.759)
Si (0.250, 0.491, 0.759)
Si (0.439, 0.750, 0.927)
Si (0.441, 0.250, 0.599)
Si (0.559, 0.750, 0.401)
Si (0.561, 0.250, 0.073)
Si (0.750, 0.509, 0.241)
Si (0.750, 0.991, 0.241)
Si (0.939, 0.250, 0.073)
Si (0.941, 0.750, 0.401)
Rh (0.250, 0.750, 0.596)
Rh (0.750, 0.250, 0.404)

Summary:
Raw formation energy   -28.7 kJ/mol of atoms


# 3
TmGaHg2 | PBE | relaxed

Unit cell a=4.401 b=4.401 c=4.597 alpha=90.00 beta=90.00 gamma=90.00
Fractional positions:
Tm (0.000, 0.000, 0.000)
Ga (0.500, 0.500, 0.000)
Hg (0.000, 0.500, 0.500)
Hg (0.500, 0.000, 0.500)

Summary:
Formation enthalpy at 0 K   -0.32 eV per atom


# 4
Zr4CoRh2 | PBE | relaxed

Unit cell a=10.707 b=3.450 c=14.444 alpha=90.00 beta=90.00 gamma=90.00
Fractional positions:
Zr (0.050, 0.250, 0.215)
Zr (0.067, 0.750, 0.407)
Zr (0.120, 0.250, 0.946)
Zr (0.185, 0.250, 0.724)
Zr (0.315, 0.750, 0.224)
Zr (0.380, 0.750, 0.446)
Zr (0.433, 0.250, 0.907)
Zr (0.450, 0.750, 0.715)
Zr (0.550, 0.250, 0.285)
Zr (0.567, 0.750, 0.093)
Zr (0.620, 0.250, 0.554)
Zr (0.685, 0.250, 0.776)
Zr (0.815, 0.750, 0.276)
Zr (0.880, 0.750, 0.054)
Zr (0.933, 0.250, 0.593)
Zr (0.950, 0.750, 0.785)
Co (0.249, 0.750, 0.845)
Co (0.251, 0.250, 0.345)
Co (0.749, 0.750, 0.655)
Co (0.751, 0.250, 0.155)
Rh (0.135, 0.750, 0.582)
Rh (0.143, 0.750, 0.086)
Rh (0.357, 0.250, 0.586)
Rh (0.365, 0.250, 0.082)
Rh (0.635, 0.750, 0.918)
Rh (0.643, 0.750, 0.414)
Rh (0.857, 0.250, 0.914)
Rh (0.865, 0.250, 0.418)

Summary:
Formation enthalpy at 0 K   -0.45 eV per atom


Number 1: calculated volume 84 Å³ per cell, DFT total energy -23.4 eV per formula unit. Number 2: calculated volume 340 Å³ per cell, DFT total energy -75.3 eV per formula unit. Number 3: calculated volume 89 Å³ per cell, DFT total energy -9.4 eV per formula unit. Number 4: calculated volume 534 Å³ per cell, DFT total energy -59.1 eV per formula unit.